Entry from the Alexandria database: a relaxed CaTlV2O6 crystal (PBE+U).

Results
The calculation puts the density of states at the Fermi level at 4.07 states/eV per cell. Its total energy is -6.923 eV/atom.

a = 7.4894 Å, b = 7.4894 Å, c = 5.9963 Å
α = 100.63°, β = 100.63°, γ = 86.33°
Fractional coordinates of all 20 atoms:
1 Ca 0.1016 0.8984 0.7500
2 Ca 0.8984 0.1016 0.2500
3 Tl 0.3128 0.6872 0.2500
4 Tl 0.6872 0.3128 0.7500
5 V 0.1935 0.3686 0.7141
6 V 0.3686 0.1935 0.2141
7 V 0.6314 0.8065 0.7859
8 V 0.8065 0.6314 0.2859
9 O 0.0344 0.1973 0.6384
10 O 0.1138 0.5895 0.7768
11 O 0.1973 0.0344 0.1384
12 O 0.3250 0.3461 0.4781
13 O 0.3461 0.3250 0.9781
14 O 0.4105 0.8862 0.7232
15 O 0.5895 0.1138 0.2768
16 O 0.6539 0.6750 0.0219
17 O 0.6750 0.6539 0.5219
18 O 0.8027 0.9656 0.8616
19 O 0.8862 0.4105 0.2232
20 O 0.9656 0.8027 0.3616